This record from Alexandria describes a geometry-optimized MgMoRhPb2 structure. The functional is PBE-GGA.

Unit cell a=5.2902 b=5.2902 c=4.9024 alpha=90.00 beta=90.00 gamma=90.00
Last column: nearest neighbours and their distance in Å.
Space group P4/mmm (No. 123)
Asymmetric unit:
Mg 0.0000 0.0000 0.0000 [1 per cell]  8 Pb 3.61, 4 Mo 3.74
Mo 0.5000 0.5000 0.0000 [1 per cell]  2 Rh 2.45
Rh 0.5000 0.5000 0.5000 [1 per cell]  2 Mo 2.45, 4 Pb 2.65
Pb 0.0000 0.5000 0.5000 [2 per cell]  2 Rh 2.65

Properties
The calculation puts the volume at 27.44 A^3/atom. The value obtained for the raw total energy is -4.651 eV per atom. Its energy of formation from the pure elements is 76 kJ per mole of atoms.